Entry 1:
The following is a GGA-PBE calculation of a geometry-optimized PrPIrO structure, from OQMD via LeMat-Bulk.

M_tot ... 0.0 Bohr magnetons per cell
V ... 136.4 Å³/cell
Energy above the most stable polymorph in this dataset ... 0 meV per atom

Unit cell a=4.013 b=4.013 c=8.469 alpha=90.00 beta=90.00 gamma=90.00
Element x y z (fractional)
Ir 0.000 0.000 0.500
Ir 0.500 0.500 0.500
O 0.000 0.000 0.000
O 0.500 0.500 0.000
P 0.500 0.000 0.347
P 0.000 0.500 0.653
Pr 0.000 0.500 0.144
Pr 0.500 0.000 0.856

=====

Entry 2:
The following is a GGA-PBE calculation of a geometry-optimized ErAsNO structure, from OQMD via LeMat-Bulk.

M_tot ... 0.0 Bohr magnetons per cell
V ... 117.7 Å³/cell
Energy above the most stable polymorph in this dataset ... 0 meV per atom

Unit cell a=6.187 b=6.187 c=3.558 alpha=105.38 beta=105.38 gamma=105.78
Element x y z (fractional)
As 0.290 0.290 0.915
As 0.789 0.789 0.916
Er 0.875 0.375 0.246
Er 0.375 0.875 0.246
N 0.136 0.136 0.256
N 0.634 0.634 0.263
O 0.700 0.200 0.580
O 0.200 0.700 0.580

=====

Entry 3:
The following is a GGA-PBE calculation of a geometry-optimized Dy5Co2 structure, from OQMD via LeMat-Bulk.

M_tot ... 0.0 Bohr magnetons per cell
E_form ... -179 meV per atom
V ... 342.3 Å³/cell

Unit cell a=8.564 b=8.564 c=6.894 alpha=96.27 beta=96.27 gamma=42.98
Element x y z (fractional)
Co 0.823 0.400 0.072
Co 0.600 0.177 0.428
Co 0.400 0.823 0.572
Co 0.177 0.600 0.928
Dy 0.798 0.012 0.087
Dy 0.216 0.353 0.185
Dy 0.430 0.570 0.250
Dy 0.647 0.784 0.315
Dy 0.988 0.202 0.413
Dy 0.012 0.798 0.587
Dy 0.353 0.216 0.685
Dy 0.570 0.430 0.750
Dy 0.784 0.647 0.815
Dy 0.202 0.988 0.913

=====

Entry 4:
The following is a GGA-PBE calculation of a geometry-optimized ErZrTlC structure, from OQMD via LeMat-Bulk.

M_tot ... 0.0 Bohr magnetons per cell
V ... 162.1 Å³/cell
Energy above the most stable polymorph in this dataset ... 0 meV per atom

Unit cell a=3.465 b=3.465 c=15.598 alpha=90.00 beta=90.00 gamma=120.00
Element x y z (fractional)
C 0.000 0.000 0.263
C 0.000 0.000 0.737
Er 0.667 0.333 0.171
Er 0.667 0.333 0.829
Tl 0.333 0.667 0.000
Tl 0.667 0.333 0.500
Zr 0.333 0.667 0.337
Zr 0.333 0.667 0.663

=====

Entry 5:
The following is a GGA-PBE calculation of a geometry-optimized BaPPdO structure, from OQMD via LeMat-Bulk.

V ... 167.1 Å³/cell
Energy above the most stable polymorph in this dataset ... 966 meV per atom

Unit cell a=5.920 b=5.920 c=4.767 alpha=90.00 beta=90.00 gamma=90.00
Element x y z (fractional)
Ba 0.750 0.250 0.500
Ba 0.250 0.750 0.500
O 0.750 0.250 0.000
O 0.250 0.750 0.000
P 0.750 0.750 0.487
P 0.250 0.250 0.513
Pd 0.250 0.250 0.012
Pd 0.750 0.750 0.988

=====

Entry 6:
The following is a GGA-PBE calculation of a geometry-optimized PmThIr4 structure, from OQMD via LeMat-Bulk.

M_tot ... 0.0 Bohr magnetons per cell
E_form ... -783 meV per atom
V ... 113.9 Å³/cell

Unit cell a=5.441 b=5.441 c=5.441 alpha=60.00 beta=60.00 gamma=60.00
Element x y z (fractional)
Ir 0.375 0.375 0.375
Ir 0.876 0.375 0.375
Ir 0.375 0.876 0.375
Ir 0.375 0.375 0.876
Pm 0.000 0.000 0.000
Th 0.750 0.750 0.750